1.
Y2ErTm2Lu2Ni2Te2 | PBE-GGA | relaxed

Computed properties:
total magnetic moment: 0.04 μB per cell
E: -5.49 eV/atom
relative energy among the computed polymorphs: 10 meV per atom
symmetry: Imm2, No. 44

Cell and atoms, written as POSCAR:
```
Y2ErTm2Lu2Ni2Te2
1.0
-1.911 7.732 4.749
1.911 -7.732 4.749
1.911 7.732 -4.749
Y Er Tm Lu Ni Te
2 1 2 2 2 2
Cartesian
0.000 2.035 0.000
0.000 13.429 0.000
0.000 0.000 5.520
0.000 4.870 1.909
0.000 10.594 1.909
1.911 -2.275 3.341
1.911 2.275 3.341
1.911 4.069 0.089
0.000 3.663 4.837
0.000 0.000 2.348
0.000 7.732 3.274
```

***

2.
Y2Er2TmLu2Ni2Te2 | PBE-GGA | relaxed

Computed properties:
total magnetic moment: 0.01 μB per cell
E: -5.49 eV/atom
relative energy among the computed polymorphs: 10 meV per atom
symmetry: Imm2, No. 44

Cell and atoms, written as POSCAR:
```
Y2Er2TmLu2Ni2Te2
1.0
-1.908 7.706 4.729
1.908 -7.706 4.729
1.908 7.706 -4.729
Y Er Tm Lu Ni Te
2 2 1 2 2 2
Cartesian
0.000 2.257 0.000
0.000 13.155 0.000
1.908 4.862 -1.401
0.000 2.844 3.328
1.908 0.000 2.194
0.000 5.658 1.410
0.000 9.754 1.410
1.908 3.696 1.521
0.000 4.010 6.250
0.000 0.000 4.705
0.000 7.706 3.722
```

***

3.
Y2Er2Tm2LuNi2Te2 | PBE-GGA | relaxed

Computed properties:
total magnetic moment: 0.01 μB per cell
E: -5.49 eV/atom
relative energy among the computed polymorphs: 3 meV per atom
symmetry: Imm2, No. 44

Cell and atoms, written as POSCAR:
```
Y2Er2Tm2LuNi2Te2
1.0
-1.910 7.740 4.754
1.910 -7.740 4.754
1.910 7.740 -4.754
Y Er Tm Lu Ni Te
2 2 2 1 2 2
Cartesian
0.000 2.036 0.000
0.000 13.445 0.000
1.910 -2.270 3.346
1.910 2.270 3.346
0.000 4.882 1.912
0.000 10.599 1.912
0.000 0.000 5.531
1.910 4.067 0.096
0.000 3.673 4.850
0.000 0.000 2.349
0.000 7.740 3.279
```

***

4.
Y2ErTm2Lu2Ni2Te2 | PBE-GGA | relaxed

Computed properties:
total magnetic moment: 0.04 μB per cell
E: -5.49 eV/atom
relative energy among the computed polymorphs: 3 meV per atom
symmetry: Imm2, No. 44

Cell and atoms, written as POSCAR:
```
Y2ErTm2Lu2Ni2Te2
1.0
-1.915 7.713 4.766
1.915 -7.713 4.766
1.915 7.713 -4.766
Y Er Tm Lu Ni Te
2 1 2 2 2 2
Cartesian
0.000 2.035 0.000
0.000 13.392 0.000
0.000 0.000 5.537
1.915 -2.279 3.368
1.915 2.279 3.368
0.000 4.853 1.920
0.000 10.573 1.920
1.915 4.087 0.109
0.000 3.626 4.874
0.000 0.000 2.368
0.000 7.713 3.268
```

***

5.
YEr2Tm2Lu2Ni2Te2 | PBE-GGA | relaxed

Computed properties:
total magnetic moment: 0.01 μB per cell
E: -5.32 eV/atom
relative energy among the computed polymorphs: 8 meV per atom
symmetry: Imm2, No. 44

Cell and atoms, written as POSCAR:
```
YEr2Tm2Lu2Ni2Te2
1.0
-1.907 7.702 4.728
1.907 -7.702 4.728
1.907 7.702 -4.728
Y Er Tm Lu Ni Te
1 2 2 2 2 2
Cartesian
0.000 0.000 0.000
1.907 5.659 -0.771
0.000 2.042 3.957
1.907 2.857 1.140
0.000 4.845 5.868
0.000 5.428 2.552
0.000 9.975 2.552
1.907 -4.039 4.046
1.907 4.039 4.046
1.907 0.000 2.508
0.000 0.000 6.284
```

***

6.
Y2Er2TmLu2Ni2Te2 | PBE-GGA | relaxed

Computed properties:
total magnetic moment: 0.02 μB per cell
E: -5.49 eV/atom
relative energy among the computed polymorphs: 13 meV per atom
symmetry: Imm2, No. 44

Cell and atoms, written as POSCAR:
```
Y2Er2TmLu2Ni2Te2
1.0
-1.906 7.718 4.745
1.906 -7.718 4.745
1.906 7.718 -4.745
Y Er Tm Lu Ni Te
2 2 1 2 2 2
Cartesian
0.000 2.028 0.000
0.000 13.408 0.000
0.000 4.860 1.907
0.000 10.576 1.907
0.000 0.000 5.510
1.906 -2.267 3.343
1.906 2.267 3.343
1.906 4.071 0.083
0.000 3.647 4.827
0.000 0.000 2.349
0.000 7.718 3.267
```

***

7.
YEr2Tm2Lu2Ni2Te2 | PBE-GGA | relaxed

Computed properties:
total magnetic moment: 0.01 μB per cell
E: -5.32 eV/atom
relative energy among the computed polymorphs: 9 meV per atom
symmetry: Imm2, No. 44

Cell and atoms, written as POSCAR:
```
YEr2Tm2Lu2Ni2Te2
1.0
-1.907 7.695 4.721
1.907 -7.695 4.721
1.907 7.695 -4.721
Y Er Tm Lu Ni Te
1 2 2 2 2 2
Cartesian
0.000 0.000 0.000
1.907 2.852 1.142
0.000 4.843 5.863
0.000 5.426 2.541
0.000 9.964 2.541
1.907 5.648 -0.775
0.000 2.047 3.946
1.907 -4.017 4.041
1.907 4.017 4.041
1.907 0.000 2.519
0.000 0.000 6.255
```

***

8.
Y2Er2Tm2LuNi2Te2 | PBE-GGA | relaxed

Computed properties:
total magnetic moment: 0.01 μB per cell
E: -5.49 eV/atom
relative energy among the computed polymorphs: 0 meV per atom
symmetry: Imm2, No. 44

Cell and atoms, written as POSCAR:
```
Y2Er2Tm2LuNi2Te2
1.0
-1.916 7.757 4.757
1.916 -7.757 4.757
1.916 7.757 -4.757
Y Er Tm Lu Ni Te
2 2 2 1 2 2
Cartesian
0.000 2.270 0.000
0.000 13.244 0.000
0.000 5.706 1.418
0.000 9.808 1.418
1.916 4.896 -1.416
0.000 2.861 3.341
1.916 0.000 2.203
1.916 3.706 1.527
0.000 4.052 6.283
0.000 0.000 4.714
0.000 7.757 3.756
```

***

9.
Y2ErTm2Lu2Ni2Te2 | PBE-GGA | relaxed

Computed properties:
total magnetic moment: 0.00 μB per cell
E: -5.49 eV/atom
relative energy among the computed polymorphs: 6 meV per atom
symmetry: Imm2, No. 44

Cell and atoms, written as POSCAR:
```
Y2ErTm2Lu2Ni2Te2
1.0
-1.915 7.705 4.722
1.915 -7.705 4.722
1.915 7.705 -4.722
Y Er Tm Lu Ni Te
2 1 2 2 2 2
Cartesian
0.000 2.266 0.000
0.000 13.143 0.000
1.915 0.000 2.196
1.915 4.857 -1.390
0.000 2.848 3.332
0.000 5.637 1.405
0.000 9.772 1.405
1.915 3.709 1.534
0.000 3.996 6.257
0.000 0.000 4.711
0.000 7.705 3.703
```

***

10.
Y2Er2Tm2LuNi2Te2 | PBE-GGA | relaxed

Computed properties:
total magnetic moment: 0.00 μB per cell
E: -5.48 eV/atom
relative energy among the computed polymorphs: 12 meV per atom
symmetry: Imm2, No. 44

Cell and atoms, written as POSCAR:
```
Y2Er2Tm2LuNi2Te2
1.0
-1.912 7.761 4.776
1.912 -7.761 4.776
1.912 7.761 -4.776
Y Er Tm Lu Ni Te
2 2 2 1 2 2
Cartesian
0.000 2.861 0.000
0.000 12.660 0.000
1.912 5.498 1.431
0.000 2.262 6.207
1.912 -2.065 2.834
1.912 2.065 2.834
0.000 7.761 3.601
1.912 3.706 -1.883
0.000 4.055 2.893
0.000 0.000 1.376
0.000 7.761 0.383
```

***

11.
Y2Er2TmLu2Ni2Te2 | PBE-GGA | relaxed

Computed properties:
total magnetic moment: 0.02 μB per cell
E: -5.50 eV/atom
relative energy among the computed polymorphs: 3 meV per atom
symmetry: Imm2, No. 44

Cell and atoms, written as POSCAR:
```
Y2Er2TmLu2Ni2Te2
1.0
-1.913 7.726 4.751
1.913 -7.726 4.751
1.913 7.726 -4.751
Y Er Tm Lu Ni Te
2 2 1 2 2 2
Cartesian
0.000 2.037 0.000
0.000 13.415 0.000
1.913 -2.280 3.356
1.913 2.280 3.356
0.000 0.000 5.528
0.000 4.866 1.913
0.000 10.586 1.913
1.913 4.081 0.110
0.000 3.645 4.861
0.000 0.000 2.359
0.000 7.726 3.265
```

***

12.
Y2Er2Lu3Ni2Te2 | PBE-GGA | relaxed

Computed properties:
total magnetic moment: 0.01 μB per cell
E: -5.49 eV/atom
relative energy among the computed polymorphs: 11 meV per atom
symmetry: Imm2, No. 44

Cell and atoms, written as POSCAR:
```
Y2Er2Lu3Ni2Te2
1.0
-1.905 7.711 4.756
1.905 -7.711 4.756
1.905 7.711 -4.756
Y Er Lu Ni Te
2 2 3 2 2
Cartesian
0.000 2.025 0.000
0.000 13.396 0.000
0.000 4.849 1.907
0.000 10.572 1.907
1.905 -2.265 3.374
1.905 2.265 3.374
0.000 0.000 5.509
1.905 4.104 0.071
0.000 3.607 4.827
0.000 0.000 2.368
0.000 7.711 3.251
```